1.
Material: CaBeZnPt2
Method: DFT, PBE
State: relaxed

Structure (CIF):
```
data_CaBeZnPt2
_chemical_formula_sum 'Ca1 Be1 Zn1 Pt2'
_symmetry_space_group_name_H-M 'P 4/m m m'
_symmetry_Int_Tables_number 123
_symmetry_space_group_name_Hall '-P 4 2'
_cell_length_a 4.4089
_cell_length_b 4.4089
_cell_length_c 4.3593
_cell_angle_alpha 90.00
_cell_angle_beta 90.00
_cell_angle_gamma 90.00
loop_
_atom_site_label
_atom_site_type_symbol
_atom_site_fract_x
_atom_site_fract_y
_atom_site_fract_z
Ca1 Ca 0.0000 0.0000 0.0000
Be1 Be 0.5000 0.5000 0.5000
Zn1 Zn 0.5000 0.5000 0.0000
Pt1 Pt 0.0000 0.5000 0.5000
```

- Formation energy: -0.484 eV per atom
- Size of the total moment: 0.000 μB per formula unit

***

2.
Material: MgBiPd3
Method: DFT, PBE
State: relaxed

Structure (CIF):
```
data_MgBiPd3
_chemical_formula_sum 'Mg1 Bi1 Pd3'
_symmetry_space_group_name_H-M 'P m -3 m'
_symmetry_Int_Tables_number 221
_symmetry_space_group_name_Hall '-P 4 2 3'
_cell_length_a 4.6937
_cell_length_b 4.6937
_cell_length_c 4.6937
_cell_angle_alpha 90.00
_cell_angle_beta 90.00
_cell_angle_gamma 90.00
loop_
_atom_site_label
_atom_site_type_symbol
_atom_site_fract_x
_atom_site_fract_y
_atom_site_fract_z
Mg1 Mg 0.0000 0.0000 0.0000
Bi1 Bi 0.5000 0.5000 0.5000
Pd1 Pd 0.0000 0.0000 0.5000
```

- Formation energy: 0.171 eV per atom
- Size of the total moment: 0.000 μB per formula unit
- Energy above the lowest structure with this stoichiometry: 519 meV/atom

***

3.
Material: CsCe2Er2O7
Method: DFT, PBE
State: relaxed

Structure (CIF):
```
data_CsCe2Er2O7
_chemical_formula_sum 'Cs2 Ce4 Er4 O14'
_symmetry_space_group_name_H-M 'I 4 m m'
_symmetry_Int_Tables_number 107
_symmetry_space_group_name_Hall 'I 4 -2'
_cell_length_a 4.5919
_cell_length_b 4.5919
_cell_length_c 19.7139
_cell_angle_alpha 90.00
_cell_angle_beta 90.00
_cell_angle_gamma 90.00
loop_
_atom_site_label
_atom_site_type_symbol
_atom_site_fract_x
_atom_site_fract_y
_atom_site_fract_z
Cs1 Cs 0.0000 0.0000 0.0000
Ce1 Ce 0.0000 0.0000 0.3880
Ce2 Ce 0.0000 0.0000 0.6115
Er1 Er 0.0000 0.5000 0.2498
O1 O 0.0000 0.0000 0.2616
O2 O 0.0000 0.0000 0.4998
O3 O 0.0000 0.0000 0.7380
O4 O 0.0000 0.5000 0.1369
O5 O 0.0000 0.5000 0.3626
```

- Size of the total moment: 0.826 μB per formula unit

***

4.
Material: H2RhCl2
Method: DFT, PBE
State: relaxed

Structure (CIF):
```
data_H2RhCl2
_chemical_formula_sum 'H4 Rh2 Cl4'
_symmetry_space_group_name_H-M 'I 4/m m m'
_symmetry_Int_Tables_number 139
_symmetry_space_group_name_Hall '-I 4 2'
_cell_length_a 4.5373
_cell_length_b 4.5373
_cell_length_c 6.4216
_cell_angle_alpha 90.00
_cell_angle_beta 90.00
_cell_angle_gamma 90.00
loop_
_atom_site_label
_atom_site_type_symbol
_atom_site_fract_x
_atom_site_fract_y
_atom_site_fract_z
H1 H 0.0000 0.0000 0.0581
Rh1 Rh 0.0000 0.0000 0.5000
Cl1 Cl 0.0000 0.5000 0.2500
```

- Size of the total moment: 3.000 μB per formula unit
- Energy above the lowest structure with this stoichiometry: 0 meV/atom

***

5.
Material: CaCNF2
Method: DFT, PBE
State: relaxed

Structure (CIF):
```
data_CaCNF2
_chemical_formula_sum 'Ca1 C1 N1 F2'
_symmetry_space_group_name_H-M 'P 4/m m m'
_symmetry_Int_Tables_number 123
_symmetry_space_group_name_Hall '-P 4 2'
_cell_length_a 4.5737
_cell_length_b 4.5737
_cell_length_c 2.5501
_cell_angle_alpha 90.00
_cell_angle_beta 90.00
_cell_angle_gamma 90.00
loop_
_atom_site_label
_atom_site_type_symbol
_atom_site_fract_x
_atom_site_fract_y
_atom_site_fract_z
Ca1 Ca 0.0000 0.0000 0.0000
C1 C 0.5000 0.5000 0.5000
N1 N 0.5000 0.5000 0.0000
F1 F 0.0000 0.5000 0.5000
```

- Size of the total moment: 0.000 μB per formula unit
- Energy above the lowest structure with this stoichiometry: 0 meV/atom

***

6.
Material: NaNd2PaSe4
Method: DFT, PBE
State: relaxed

Structure (CIF):
```
data_NaNd2PaSe4
_chemical_formula_sum 'Na1 Nd2 Pa1 Se4'
_symmetry_space_group_name_H-M 'P 1 2/m 1'
_symmetry_Int_Tables_number 10
_symmetry_space_group_name_Hall '-P 2y'
_cell_length_a 7.2107
_cell_length_b 4.1346
_cell_length_c 7.3142
_cell_angle_alpha 90.00
_cell_angle_beta 108.79
_cell_angle_gamma 90.00
loop_
_atom_site_label
_atom_site_type_symbol
_atom_site_fract_x
_atom_site_fract_y
_atom_site_fract_z
Na1 Na 0.0000 0.0000 0.0000
Nd1 Nd 0.5000 0.0000 0.5000
Nd2 Nd 0.5000 0.5000 0.0000
Pa1 Pa 0.0000 0.5000 0.5000
Se1 Se 0.2388 0.0000 0.7473
Se2 Se 0.2414 0.5000 0.2508
```

- Size of the total moment: 1.150 μB per formula unit

***

7.
Material: TbPm3Sm4Se8
Method: DFT, PBE
State: relaxed

Structure (CIF):
```
data_TbPm3Sm4Se8
_chemical_formula_sum 'Tb3 Pm9 Sm12 Se24'
_symmetry_space_group_name_H-M 'R -3 m'
_symmetry_Int_Tables_number 166
_symmetry_space_group_name_Hall '-R 3 2"'
_cell_length_a 8.3486
_cell_length_b 8.3486
_cell_length_c 20.4449
_cell_angle_alpha 90.00
_cell_angle_beta 90.00
_cell_angle_gamma 120.00
loop_
_atom_site_label
_atom_site_type_symbol
_atom_site_fract_x
_atom_site_fract_y
_atom_site_fract_z
Tb1 Tb 0.0000 0.0000 0.0000
Pm1 Pm 0.0000 0.5000 0.0000
Sm1 Sm 0.0000 0.0000 0.5000
Sm2 Sm 0.0000 0.5000 0.5000
Se1 Se 0.0000 0.0000 0.2492
Se2 Se 0.0045 0.5023 0.7496
```

- Size of the total moment: 0.000 μB per formula unit

***

8.
Material: RbNiSe2N
Method: DFT, PBE
State: relaxed

Structure (CIF):
```
data_RbNiSe2N
_chemical_formula_sum 'Rb1 Ni1 Se2 N1'
_symmetry_space_group_name_H-M 'P 4/m m m'
_symmetry_Int_Tables_number 123
_symmetry_space_group_name_Hall '-P 4 2'
_cell_length_a 6.0711
_cell_length_b 6.0711
_cell_length_c 5.1210
_cell_angle_alpha 90.00
_cell_angle_beta 90.00
_cell_angle_gamma 90.00
loop_
_atom_site_label
_atom_site_type_symbol
_atom_site_fract_x
_atom_site_fract_y
_atom_site_fract_z
Rb1 Rb 0.0000 0.0000 0.0000
Ni1 Ni 0.5000 0.5000 0.5000
Se1 Se 0.0000 0.5000 0.0000
N1 N 0.0000 0.0000 0.5000
```

- Size of the total moment: 6.035 μB per formula unit
- Energy above the lowest structure with this stoichiometry: 1850 meV/atom

***

9.
Material: HoMg2Sc4
Method: DFT, PBE
State: relaxed

Structure (CIF):
```
data_HoMg2Sc4
_chemical_formula_sum 'Ho2 Mg4 Sc8'
_symmetry_space_group_name_H-M 'I 4/m m m'
_symmetry_Int_Tables_number 139
_symmetry_space_group_name_Hall '-I 4 2'
_cell_length_a 5.1727
_cell_length_b 5.1727
_cell_length_c 15.4288
_cell_angle_alpha 90.00
_cell_angle_beta 90.00
_cell_angle_gamma 90.00
loop_
_atom_site_label
_atom_site_type_symbol
_atom_site_fract_x
_atom_site_fract_y
_atom_site_fract_z
Ho1 Ho 0.0000 0.0000 0.0000
Mg1 Mg 0.0000 0.0000 0.3844
Sc1 Sc 0.0000 0.0000 0.1841
Sc2 Sc 0.0000 0.5000 0.0000
```

- Formation energy: 0.754 eV per atom
- Size of the total moment: 0.457 μB per formula unit
- Energy above the lowest structure with this stoichiometry: 720 meV/atom

***

10.
Material: AsH2Cl
Method: DFT, PBE
State: relaxed

Structure (CIF):
```
data_AsH2Cl
_chemical_formula_sum 'As4 H8 Cl4'
_symmetry_space_group_name_H-M 'F m -3 m'
_symmetry_Int_Tables_number 225
_symmetry_space_group_name_Hall '-F 4 2 3'
_cell_length_a 5.6592
_cell_length_b 5.6592
_cell_length_c 5.6592
_cell_angle_alpha 90.00
_cell_angle_beta 90.00
_cell_angle_gamma 90.00
loop_
_atom_site_label
_atom_site_type_symbol
_atom_site_fract_x
_atom_site_fract_y
_atom_site_fract_z
As1 As 0.0000 0.0000 0.0000
H1 H 0.2500 0.2500 0.2500
Cl1 Cl 0.0000 0.0000 0.5000
```

- Size of the total moment: 0.000 μB per formula unit
- Energy above the lowest structure with this stoichiometry: 1044 meV/atom

***

11.
Material: K3Tl4Pb2
Method: DFT, PBE
State: relaxed

Structure (CIF):
```
data_K3Tl4Pb2
_chemical_formula_sum 'K12 Tl16 Pb8'
_symmetry_space_group_name_H-M 'C 1 2/c 1'
_symmetry_Int_Tables_number 15
_symmetry_space_group_name_Hall '-C 2yc'
_cell_length_a 16.4651
_cell_length_b 11.5662
_cell_length_c 6.8902
_cell_angle_alpha 90.00
_cell_angle_beta 94.93
_cell_angle_gamma 90.00
loop_
_atom_site_label
_atom_site_type_symbol
_atom_site_fract_x
_atom_site_fract_y
_atom_site_fract_z
K1 K 0.0000 0.0635 0.2500
K2 K 0.1142 0.4025 0.4120
Tl1 Tl 0.0752 0.2796 0.9187
Tl2 Tl 0.1726 0.1261 0.6225
Pb1 Pb 0.2294 0.1443 0.1509
```

- Formation energy: -0.082 eV per atom
- Size of the total moment: 0.000 μB per formula unit
- Energy above the lowest structure with this stoichiometry: 0 meV/atom

***

12.
Material: Dy2TlC
Method: DFT, PBE
State: relaxed

Structure (CIF):
```
data_Dy2TlC
_chemical_formula_sum 'Dy6 Tl3 C3'
_symmetry_space_group_name_H-M 'R -3 m'
_symmetry_Int_Tables_number 166
_symmetry_space_group_name_Hall '-R 3 2"'
_cell_length_a 3.6199
_cell_length_b 3.6199
_cell_length_c 24.3657
_cell_angle_alpha 90.00
_cell_angle_beta 90.00
_cell_angle_gamma 120.00
loop_
_atom_site_label
_atom_site_type_symbol
_atom_site_fract_x
_atom_site_fract_y
_atom_site_fract_z
Dy1 Dy 0.0000 0.0000 0.2221
Tl1 Tl 0.0000 0.0000 0.0000
C1 C 0.0000 0.0000 0.5000
```

- Formation energy: -0.376 eV per atom
- Size of the total moment: 0.001 μB per formula unit

***

13.
Material: AgPb2I6
Method: DFT, PBE
State: relaxed

Structure (CIF):
```
data_AgPb2I6
_chemical_formula_sum 'Ag2 Pb4 I12'
_symmetry_space_group_name_H-M 'P 42/m n m'
_symmetry_Int_Tables_number 136
_symmetry_space_group_name_Hall '-P 4n 2n'
_cell_length_a 7.4349
_cell_length_b 7.4349
_cell_length_c 14.0177
_cell_angle_alpha 90.00
_cell_angle_beta 90.00
_cell_angle_gamma 90.00
loop_
_atom_site_label
_atom_site_type_symbol
_atom_site_fract_x
_atom_site_fract_y
_atom_site_fract_z
Ag1 Ag 0.0000 0.0000 0.0000
Pb1 Pb 0.0000 0.0000 0.3358
I1 I 0.1926 0.1926 0.1538
I2 I 0.2082 0.2082 0.5000
```

- Size of the total moment: 0.000 μB per formula unit

***

14.
Material: HgI2BrO
Method: DFT, PBE
State: relaxed

Structure (CIF):
```
data_HgI2BrO
_chemical_formula_sum 'Hg1 I2 Br1 O1'
_symmetry_space_group_name_H-M 'P 4/m m m'
_symmetry_Int_Tables_number 123
_symmetry_space_group_name_Hall '-P 4 2'
_cell_length_a 6.2233
_cell_length_b 6.2233
_cell_length_c 4.0256
_cell_angle_alpha 90.00
_cell_angle_beta 90.00
_cell_angle_gamma 90.00
loop_
_atom_site_label
_atom_site_type_symbol
_atom_site_fract_x
_atom_site_fract_y
_atom_site_fract_z
Hg1 Hg 0.0000 0.0000 0.0000
I1 I 0.0000 0.5000 0.0000
Br1 Br 0.5000 0.5000 0.5000
O1 O 0.0000 0.0000 0.5000
```

- Size of the total moment: 1.450 μB per formula unit
- Energy above the lowest structure with this stoichiometry: 0 meV/atom

***

15.
Material: Li3Sm4Ir2
Method: DFT, PBE
State: relaxed

Structure (CIF):
```
data_Li3Sm4Ir2
_chemical_formula_sum 'Li3 Sm4 Ir2'
_symmetry_space_group_name_H-M 'P -3 m 1'
_symmetry_Int_Tables_number 164
_symmetry_space_group_name_Hall '-P 3 2"'
_cell_length_a 4.8657
_cell_length_b 4.8657
_cell_length_c 10.1590
_cell_angle_alpha 90.00
_cell_angle_beta 90.00
_cell_angle_gamma 120.00
loop_
_atom_site_label
_atom_site_type_symbol
_atom_site_fract_x
_atom_site_fract_y
_atom_site_fract_z
Li1 Li 0.0000 0.0000 0.0000
Li2 Li 0.3333 0.6667 0.4697
Sm1 Sm 0.0000 0.0000 0.3128
Sm2 Sm 0.3333 0.6667 0.8867
Ir1 Ir 0.3333 0.6667 0.1901
```

- Formation energy: -0.375 eV per atom
- Size of the total moment: 0.000 μB per formula unit

***

16.
Material: LaTbPmS3
Method: DFT, PBE
State: relaxed

Structure (CIF):
```
data_LaTbPmS3
_chemical_formula_sum 'La2 Tb2 Pm2 S6'
_symmetry_space_group_name_H-M 'P 1 21/m 1'
_symmetry_Int_Tables_number 11
_symmetry_space_group_name_Hall '-P 2yb'
_cell_length_a 6.9665
_cell_length_b 3.9521
_cell_length_c 10.5627
_cell_angle_alpha 90.00
_cell_angle_beta 102.51
_cell_angle_gamma 90.00
loop_
_atom_site_label
_atom_site_type_symbol
_atom_site_fract_x
_atom_site_fract_y
_atom_site_fract_z
La1 La 0.1514 0.2500 0.1955
Tb1 Tb 0.2676 0.7500 0.5552
Pm1 Pm 0.3740 0.2500 0.8673
S1 S 0.0471 0.2500 0.6561
S2 S 0.2212 0.7500 0.0046
S3 S 0.4485 0.7500 0.3474
```

- Size of the total moment: 0.000 μB per formula unit

***

17.
Material: Te2PbIN
Method: DFT, PBE
State: relaxed

Structure (CIF):
```
data_Te2PbIN
_chemical_formula_sum 'Te2 Pb1 I1 N1'
_symmetry_space_group_name_H-M 'P 4/m m m'
_symmetry_Int_Tables_number 123
_symmetry_space_group_name_Hall '-P 4 2'
_cell_length_a 6.2012
_cell_length_b 6.2012
_cell_length_c 4.2875
_cell_angle_alpha 90.00
_cell_angle_beta 90.00
_cell_angle_gamma 90.00
loop_
_atom_site_label
_atom_site_type_symbol
_atom_site_fract_x
_atom_site_fract_y
_atom_site_fract_z
Te1 Te 0.0000 0.5000 0.0000
Pb1 Pb 0.0000 0.0000 0.0000
I1 I 0.5000 0.5000 0.5000
N1 N 0.0000 0.0000 0.5000
```

- Size of the total moment: 0.002 μB per formula unit
- Energy above the lowest structure with this stoichiometry: 543 meV/atom

***

18.
Material: KBeSi2
Method: DFT, PBE
State: relaxed

Structure (CIF):
```
data_KBeSi2
_chemical_formula_sum 'K2 Be2 Si4'
_symmetry_space_group_name_H-M 'C 1 2/m 1'
_symmetry_Int_Tables_number 12
_symmetry_space_group_name_Hall '-C 2y'
_cell_length_a 7.1890
_cell_length_b 3.6414
_cell_length_c 6.8305
_cell_angle_alpha 90.00
_cell_angle_beta 104.20
_cell_angle_gamma 90.00
loop_
_atom_site_label
_atom_site_type_symbol
_atom_site_fract_x
_atom_site_fract_y
_atom_site_fract_z
K1 K 0.0000 0.0000 0.0000
Be1 Be 0.0000 0.5000 0.5000
Si1 Si 0.2273 0.0000 0.6133
```

- Size of the total moment: 0.000 μB per formula unit

***

19.
Material: Ba3AlZn8
Method: DFT, PBE
State: relaxed

Structure (CIF):
```
data_Ba3AlZn8
_chemical_formula_sum 'Ba9 Al3 Zn24'
_symmetry_space_group_name_H-M 'R 3 m'
_symmetry_Int_Tables_number 160
_symmetry_space_group_name_Hall 'R 3 -2"'
_cell_length_a 5.6501
_cell_length_b 5.6501
_cell_length_c 31.6529
_cell_angle_alpha 90.00
_cell_angle_beta 90.00
_cell_angle_gamma 120.00
loop_
_atom_site_label
_atom_site_type_symbol
_atom_site_fract_x
_atom_site_fract_y
_atom_site_fract_z
Ba1 Ba 0.0000 0.0000 0.0000
Ba2 Ba 0.0000 0.0000 0.1284
Ba3 Ba 0.0000 0.0000 0.5140
Al1 Al 0.0000 0.0000 0.6231
Zn1 Zn 0.0000 0.0000 0.3156
Zn2 Zn 0.0000 0.0000 0.8457
Zn3 Zn 0.0033 0.5017 0.0610
Zn4 Zn 0.1749 0.3498 0.9088
```

- Formation energy: -0.051 eV per atom
- Size of the total moment: 0.000 μB per formula unit

***

20.
Material: BC7
Method: DFT, PBE
State: relaxed

Structure (CIF):
```
data_BC7
_chemical_formula_sum 'B1 C7'
_symmetry_space_group_name_H-M 'P 3 m 1'
_symmetry_Int_Tables_number 156
_symmetry_space_group_name_Hall 'P 3 -2"'
_cell_length_a 2.5364
_cell_length_b 2.5364
_cell_length_c 8.5198
_cell_angle_alpha 90.00
_cell_angle_beta 90.00
_cell_angle_gamma 120.00
loop_
_atom_site_label
_atom_site_type_symbol
_atom_site_fract_x
_atom_site_fract_y
_atom_site_fract_z
B1 B 0.0000 0.0000 0.0000
C1 C 0.0000 0.0000 0.1907
C2 C 0.3333 0.6667 0.4942
C3 C 0.3333 0.6667 0.6787
C4 C 0.6667 0.3333 0.2511
C5 C 0.6667 0.3333 0.4336
C6 C 0.6667 0.3333 0.7415
C7 C 0.6667 0.3333 0.9181
```

- Formation energy: 0.226 eV per atom
- Size of the total moment: 0.000 μB per formula unit
- Energy above the lowest structure with this stoichiometry: 18 meV/atom

***

Listing raw total energy for the structures above in their given order: -0.158; -0.148; -0.289; -0.124; -0.208; -0.215; -0.217; -0.085; -0.146; -0.080; -0.085; -0.205; -0.094; -0.058; -0.187; -0.237; -0.105; -0.136; -0.062; -0.319 hartree per atom.